No. 1
Rb2MnMoBr6: relaxed, GGA-PBE.

Geometry as extended XYZ:
```
10
Lattice="0.000 5.403 5.403 5.403 0.000 5.403 5.403 5.403 0.000" Properties=species:S:1:pos:R:3 pbc="T T T"
Rb 2.701 2.701 2.701
Rb 8.104 8.104 8.104
Mn 0.000 0.000 0.000
Mo 5.403 5.403 5.403
Br 5.403 5.403 2.710
Br 5.403 2.710 5.403
Br 8.095 5.403 5.403
Br 2.710 5.403 5.403
Br 5.403 8.095 5.403
Br 5.403 5.403 8.095
```

Results
Raw total energy in eV per cell: -41.08
Volume in A^3/atom: 31.5


No. 2
MnMoSe2Br: relaxed, GGA-PBE.

Geometry as extended XYZ:
```
5
Lattice="4.907 0.000 0.000 0.000 4.907 0.000 0.000 0.000 5.319" Properties=species:S:1:pos:R:3 pbc="T T T"
Mn 0.000 0.000 0.000
Mo 2.453 2.453 2.660
Se 0.000 2.453 2.660
Se 2.453 0.000 2.660
Br 2.453 2.453 0.000
```

Results
Raw total energy in eV per cell: -26.72
Volume in A^3/atom: 25.6


No. 3
Mn2MoSeBr: relaxed, GGA-PBE.

Geometry as extended XYZ:
```
5
Lattice="5.184 0.000 0.000 0.000 5.184 0.000 0.000 0.000 4.682" Properties=species:S:1:pos:R:3 pbc="T T T"
Mn 0.000 2.592 0.000
Mn 2.592 0.000 0.000
Mo 0.000 0.000 0.000
Se 0.000 0.000 2.341
Br 2.592 2.592 2.341
```

Results
Raw total energy in eV per cell: -31.08
Volume in A^3/atom: 25.2


No. 4
MnTeMo2Br: relaxed, GGA-PBE.

Geometry as extended XYZ:
```
5
Lattice="4.774 0.000 0.000 0.000 4.774 0.000 0.000 0.000 4.751" Properties=species:S:1:pos:R:3 pbc="T T T"
Mn 0.000 0.000 0.000
Te 0.000 0.000 2.376
Mo 0.000 2.387 0.000
Mo 2.387 0.000 0.000
Br 2.387 2.387 2.376
```

Results
Raw total energy in eV per cell: -29.43
Volume in A^3/atom: 21.7


No. 5
MnBr2N2: relaxed, GGA-PBE.

Geometry as extended XYZ:
```
10
Lattice="6.754 0.000 0.000 0.000 3.889 0.000 -0.745 0.000 10.879" Properties=species:S:1:pos:R:3 pbc="T T T"
Mn 0.000 0.000 0.000
Mn 3.377 1.944 0.000
Br 0.382 1.944 9.372
Br 2.250 0.000 1.507
Br 3.760 0.000 9.372
Br 5.627 1.944 1.507
N -0.016 0.000 5.012
N 2.648 1.944 5.867
N 3.361 1.944 5.012
N 6.026 0.000 5.867
```

Results
Raw total energy in eV per cell: -63.04
Volume in A^3/atom: 28.6


No. 6
MnBrN2: relaxed, GGA-PBE.

Geometry as extended XYZ:
```
16
Lattice="5.440 0.000 0.000 0.000 5.440 0.000 0.000 0.000 5.440" Properties=species:S:1:pos:R:3 pbc="T T T"
Mn 0.000 0.000 0.000
Mn 0.000 2.720 2.720
Mn 2.720 0.000 2.720
Mn 2.720 2.720 0.000
Br 0.000 0.000 2.720
Br 0.000 2.720 0.000
Br 2.720 0.000 0.000
Br 2.720 2.720 2.720
N 1.360 1.360 1.360
N 1.360 1.360 4.080
N 1.360 4.080 1.360
N 1.360 4.080 4.080
N 4.080 1.360 1.360
N 4.080 1.360 4.080
N 4.080 4.080 1.360
N 4.080 4.080 4.080
```

Results
Raw total energy in eV per cell: -75.33
Volume in A^3/atom: 10.1


No. 7
Mn2Br3N2: relaxed, GGA-PBE.

Geometry as extended XYZ:
```
7
Lattice="3.944 0.000 0.000 0.000 6.723 0.000 -1.972 -1.563 6.308" Properties=species:S:1:pos:R:3 pbc="T T T"
Mn -0.003 2.025 1.586
Mn 1.974 3.135 4.722
Br 0.001 4.154 3.214
Br 1.972 3.362 0.000
Br 1.971 1.007 3.094
N -0.001 0.485 0.307
N 1.973 4.675 6.001
```

Results
Raw total energy in eV per cell: -42.67
Volume in A^3/atom: 23.9


No. 8
MnBrN3: relaxed, GGA-PBE.

Geometry as extended XYZ:
```
5
Lattice="3.751 0.000 0.000 0.000 3.751 0.000 0.000 0.000 3.751" Properties=species:S:1:pos:R:3 pbc="T T T"
Mn 0.000 0.000 0.000
Br 1.875 1.875 1.875
N 0.000 0.000 1.875
N 0.000 1.875 0.000
N 1.875 0.000 0.000
```

Results
Raw total energy in eV per cell: -28.49
Volume in A^3/atom: 10.6